Entry from Alexandria: a relaxed CrIN2O crystal (PBE+U).

CIF file:
```
data_CrIN2O
_symmetry_space_group_name_H-M 'P 4/m m m'
_symmetry_Int_Tables_number 123
_symmetry_space_group_name_Hall '-P 4 2'
_cell_length_a 4.091
_cell_length_b 4.091
_cell_length_c 3.994
_cell_angle_alpha 90.00
_cell_angle_beta 90.00
_cell_angle_gamma 90.00
loop_
_atom_site_label
_atom_site_type_symbol
_atom_site_fract_x
_atom_site_fract_y
_atom_site_fract_z
Cr1 Cr 0.000 0.000 0.000
I1 I 0.500 0.500 0.500
N1 N 0.000 0.500 0.500
O1 O 0.500 0.500 0.000
```

Calculated values
Electronic total energy = -4.7882 eV/atom
Crystal system = tetragonal